Record 1
VASP calculation (SCAN) on a PBEsol-optimized structure of AlCu3Mo.

As for the symmetry: Pm-3m (221). The mass density is 7.0 g/cm3. As for the formation energy: 1.091 eV/atom. The calculation puts the volume at 74.6 Å³ per cell.

a = 4.2087 Å, b = 4.2087 Å, c = 4.2087 Å
α = 90.00°, β = 90.00°, γ = 90.00°
Sites, in units of the cell vectors:
1 Al 0.0000 0.0000 0.0000
2 Cu 0.0000 0.0000 0.5000
3 Cu 0.0000 0.5000 0.0000
4 Cu 0.5000 0.0000 0.0000
5 Mo 0.5000 0.5000 0.5000

Record 2
VASP calculation (SCAN) on a PBEsol-optimized structure of AlCu3Mo.

As for the symmetry: Pm-3m (221). The mass density is 5.4 g/cm3. As for the formation energy: 1.635 eV/atom. The calculation puts the volume at 96.9 Å³ per cell.

a = 4.5931 Å, b = 4.5931 Å, c = 4.5931 Å
α = 90.00°, β = 90.00°, γ = 90.00°
Sites, in units of the cell vectors:
1 Al 0.0000 0.0000 0.0000
2 Cu 0.0000 0.5000 0.5000
3 Cu 0.5000 0.0000 0.5000
4 Cu 0.5000 0.5000 0.0000
5 Mo 0.5000 0.5000 0.5000

Record 3
VASP calculation (SCAN) on a PBEsol-optimized structure of AlCuMo2.

As for the symmetry: F-43m (216). The mass density is 8.2 g/cm3. As for the formation energy: 0.002 eV/atom. The calculation puts the volume at 227.9 Å³ per cell.

a = 6.1086 Å, b = 6.1086 Å, c = 6.1086 Å
α = 90.00°, β = 90.00°, γ = 90.00°
Sites, in units of the cell vectors:
1 Al 0.0000 0.0000 0.0000
2 Al 0.0000 0.5000 0.5000
3 Al 0.5000 0.0000 0.5000
4 Al 0.5000 0.5000 0.0000
5 Cu 0.2500 0.2500 0.2500
6 Cu 0.2500 0.7500 0.7500
7 Cu 0.7500 0.2500 0.7500
8 Cu 0.7500 0.7500 0.2500
9 Mo 0.0000 0.0000 0.5000
10 Mo 0.0000 0.5000 0.0000
11 Mo 0.2500 0.2500 0.7500
12 Mo 0.2500 0.7500 0.2500
13 Mo 0.5000 0.0000 0.0000
14 Mo 0.5000 0.5000 0.5000
15 Mo 0.7500 0.2500 0.2500
16 Mo 0.7500 0.7500 0.7500